Material: Ba3ErV2O9
Method: DFT, GGA+U
State: relaxed

Lattice parameters (Å, degrees): 5.8110 5.8110 7.1233 90.00 90.00 120.00
Space group P-3m1 (No. 164)
Unique sites:
Ba 0.0000 0.0000 0.0000 x1
Ba 0.3333 0.6667 0.6796 x2
Er 0.0000 0.0000 0.5000 x1
V 0.3333 0.6667 0.1648 x2
O 0.0000 0.5000 0.0000 x3
O 0.1778 0.3557 0.3151 x6

Results
E_tot	-7.290	eV per atom
calculated density	6.58	g/cm³
volume	13.888	Å³/atom